A relaxed RbCrHg2 crystal, computed with GGA-PBE.

Computed properties:
M_tot: 19.7 μB per cell
Energy relative to the lowest polymorph listed for this composition: 0.0000 eV per atom
E: -39.17 eV per cell
DFT formation energy: 0.35 eV/atom

a = 5.9669 Å, b = 5.9669 Å, c = 18.5961 Å
α = 90.00°, β = 90.00°, γ = 90.00°
Space group I4_1/amd (No. 141, origin choice 2)
One atom of each set of equivalent atoms:
1 Rb 0.0000 0.2500 0.3750
2 Cr 0.0000 0.2500 0.8750
3 Hg 0.0000 0.0000 0.0000